Entry 1:
Computed, not measured: a relaxed structure of LiCe2Nb3N6 at the PBE-GGA level of DFT.

Cell lengths 14.4063, 3.2346, 6.6265 Å; angles 90.00, 106.16, 90.00 degrees
Closest atoms and distances in Å follow each position.
Space group C2/m (No. 12)
One atom of each set of equivalent atoms:
Li: 0.0000 0.0000 0.0000 (multiplicity 2)  6 N 2.35-2.39
Ce: 0.1591 0.5000 0.3165 (multiplicity 4)  6 N 2.32-2.49
Nb: 0.0000 0.0000 0.5000 (multiplicity 2)  6 N 2.23-2.25
Nb: 0.1573 0.5000 0.8194 (multiplicity 4)  5 N 2.08-2.23
N: 0.0074 0.5000 0.7402 (multiplicity 4)  3 Nb 2.08-2.25, 1 Ce 2.32
N: 0.1613 0.0000 0.5965 (multiplicity 4)  3 Nb 2.20-2.23, 2 Ce 2.45
N: 0.1686 0.0000 0.0562 (multiplicity 4)  3 Nb 2.23-2.41, 1 Li 2.35, 2 Ce 2.40

Results
ΔE_f (raw) = -27.921 kcal/mol of atoms
total DFT energy (no corrections) = -9.039 eV/atom

---

Entry 2:
Computed, not measured: a relaxed structure of SrEuBiI at the PBE-GGA level of DFT.

Cell lengths 8.2816, 8.2816, 8.2816 Å; angles 90.00, 90.00, 90.00 degrees
Closest atoms and distances in Å follow each position.
Space group F-43m (No. 216)
One atom of each set of equivalent atoms:
Sr: 0.0000 0.0000 0.0000 (multiplicity 4)  4 Bi 3.59, 4 I 3.59
Eu: 0.0000 0.0000 0.5000 (multiplicity 4)  4 Bi 3.59, 4 I 3.59
Bi: 0.2500 0.2500 0.7500 (multiplicity 4)  4 Sr 3.59, 4 Eu 3.59
I: 0.2500 0.2500 0.2500 (multiplicity 4)  4 Sr 3.59, 4 Eu 3.59

Results
ΔE_f (raw) = -24.229 kcal/mol of atoms
total DFT energy (no corrections) = -5.398 eV/atom

---

Entry 3:
Computed, not measured: a relaxed structure of PmMnRu at the PBE-GGA level of DFT.

Cell lengths 6.8314, 6.8314, 5.9029 Å; angles 90.00, 90.00, 90.00 degrees
Closest atoms and distances in Å follow each position.
Space group P4_12_12 (No. 92)
One atom of each set of equivalent atoms:
Pm: 0.2396 0.2396 0.0000 (multiplicity 4)  3 Ru 2.78-2.95, 2 Mn 3.00
Mn: 0.2051 0.7949 0.7500 (multiplicity 4)  3 Ru 2.38-2.51
Ru: 0.0485 0.0485 0.5000 (multiplicity 4)  3 Mn 2.38-2.51

Results
energy of formation from the pure elements = 0.856 eV/f.u.
total DFT energy (no corrections) = -7.447 eV/atom

---

Entry 4:
Computed, not measured: a relaxed structure of Ta2CrOs at the PBE-GGA level of DFT.

Cell lengths 2.8153, 4.4153, 5.1409 Å; angles 90.00, 101.18, 90.00 degrees
Closest atoms and distances in Å follow each position.
Space group Pm (No. 6)
One atom of each set of equivalent atoms:
Ta: 0.0000 0.0000 0.0000 (multiplicity 1)  2 Cr 2.62, 2 Os 2.64-2.72, 4 Ta 2.82
Ta: 0.2704 0.5000 0.7214 (multiplicity 1)  2 Os 2.67, 2 Cr 2.67-2.69, 4 Ta 2.82
Cr: 0.7732 0.5000 0.2222 (multiplicity 1)  4 Ta 2.62-2.69, 2 Os 2.76, 2 Cr 2.82
Os: 0.5185 0.0000 0.4873 (multiplicity 1)  4 Ta 2.64-2.72, 2 Cr 2.76, 2 Os 2.82

Results
energy of formation from the pure elements = -0.242 eV/f.u.
energy relative to the lowest polymorph listed for this composition = 249 meV/atom
total DFT energy (no corrections) = -11.200 eV/atom